# PBE ErAsHRh2, optimized geometry
# Symmetry   No. 63
# E_tot   -6.2417 eV per atom
# Magnetic moment   0.0 μB per formula unit
# D(E_F)   0.345 states/eV/atom
data_ErAsHRh2
_chemical_formula_sum 'Er2 As2 H2 Rh4'
_space_group_name_H-M_alt 'P 1'
_space_group_IT_number 1
_cell_length_a 5.650
_cell_length_b 5.650
_cell_length_c 7.224
_cell_angle_alpha 90.00
_cell_angle_beta 90.00
_cell_angle_gamma 140.32
loop_
_space_group_symop_operation_xyz
'x,y,z'
loop_
_atom_site_label
_atom_site_type_symbol
_atom_site_fract_x
_atom_site_fract_y
_atom_site_fract_z
Er1 Er 0.052 0.948 0.750
Er2 Er 0.948 0.052 0.250
As1 As 0.227 0.773 0.250
As2 As 0.773 0.227 0.750
H1 H 0.500 0.500 0.000
H2 H 0.500 0.500 0.500
Rh1 Rh 0.344 0.656 0.552
Rh2 Rh 0.344 0.656 0.948
Rh3 Rh 0.656 0.344 0.052
Rh4 Rh 0.656 0.344 0.448

---

# PBE GaCoGe, optimized geometry
# Symmetry   No. 62
# Magnetic moment   0.0 μB per formula unit
# ΔH_f (0 K)   -0.18 eV per atom
# D(E_F)   0.671 states/eV/atom
# Energy above the lowest structure with this stoichiometry   0 meV per atom
data_GaCoGe
_chemical_formula_sum 'Ga4 Co4 Ge4'
_space_group_name_H-M_alt 'P 1'
_space_group_IT_number 1
_cell_length_a 7.857
_cell_length_b 4.078
_cell_length_c 5.622
_cell_angle_alpha 90.00
_cell_angle_beta 90.00
_cell_angle_gamma 90.00
loop_
_space_group_symop_operation_xyz
'x,y,z'
loop_
_atom_site_label
_atom_site_type_symbol
_atom_site_fract_x
_atom_site_fract_y
_atom_site_fract_z
Ga1 Ga 0.121 0.250 0.221
Ga2 Ga 0.379 0.750 0.721
Ga3 Ga 0.621 0.250 0.279
Ga4 Ga 0.879 0.750 0.779
Co1 Co 0.114 0.750 0.493
Co2 Co 0.386 0.250 0.993
Co3 Co 0.614 0.750 0.007
Co4 Co 0.886 0.250 0.507
Ge1 Ge 0.141 0.250 0.740
Ge2 Ge 0.359 0.750 0.240
Ge3 Ge 0.641 0.250 0.760
Ge4 Ge 0.859 0.750 0.260

---

# PBE Ca3YPt4, optimized geometry
# Symmetry   No. 139
# Magnetic moment   0.0 μB per formula unit
# ΔH_f (0 K)   -0.98 eV per atom
# D(E_F)   0.340 states/eV/atom
data_Ca3YPt4
_chemical_formula_sum 'Ca3 Y1 Pt4'
_space_group_name_H-M_alt 'P 1'
_space_group_IT_number 1
_cell_length_a 7.849
_cell_length_b 7.849
_cell_length_c 7.849
_cell_angle_alpha 143.42
_cell_angle_beta 143.42
_cell_angle_gamma 52.69
loop_
_space_group_symop_operation_xyz
'x,y,z'
loop_
_atom_site_label
_atom_site_type_symbol
_atom_site_fract_x
_atom_site_fract_y
_atom_site_fract_z
Ca1 Ca 0.000 0.000 0.000
Ca2 Ca 0.247 0.247 0.000
Ca3 Ca 0.753 0.753 0.000
Y1 Y 0.500 0.500 0.000
Pt1 Pt 0.120 0.620 0.500
Pt2 Pt 0.380 0.880 0.500
Pt3 Pt 0.620 0.120 0.500
Pt4 Pt 0.880 0.380 0.500

---

What is the magnetic moment in the first record? 0.0 μB per formula unit